Be2CoAg | Alexandria via LeMat-Bulk | PBE | optimized geometry; ΔE to the lowest computed polymorph = 146 meV per atom; total moment = 0.000 μB/atom; symmetry = P4/mmm; formation enthalpy at 0 K = 0.024 eV per atom
1.0
3.883 0.014 0.000
-0.015 3.883 0.000
0.000 0.000 2.829
Be Co Ag
2 1 1
Direct
0.000 0.000 0.000
0.500 0.500 0.000
0.500 0.000 0.500
0.000 0.500 0.500

---

PaInPd4 | Alexandria via LeMat-Bulk | PBE | optimized geometry; ΔE to the lowest computed polymorph = 96 meV per atom; total moment = 0.000 μB/atom; symmetry = F-43m; formation enthalpy at 0 K = -0.551 eV per atom
1.0
5.380 0.000 0.000
2.690 4.659 0.000
2.690 1.553 4.393
Pa Pd In
1 4 1
Direct
0.000 0.000 0.000
0.625 0.625 0.126
0.625 0.126 0.625
0.625 0.625 0.625
0.126 0.625 0.625
0.250 0.250 0.250

---

Li4YCl | Alexandria via LeMat-Bulk | PBE | optimized geometry; total moment = 0.046 μB/atom; formation energy (no corrections) = -0.007 eV/atom; symmetry = F-43m
1.0
0.000 4.106 4.106
4.106 0.000 4.106
4.106 4.106 0.000
Li Y Cl
4 1 1
Direct
0.874 0.375 0.375
0.375 0.375 0.874
0.375 0.874 0.375
0.375 0.375 0.375
0.750 0.750 0.750
0.000 0.000 0.000

---

CaCu2Ag | Alexandria via LeMat-Bulk | PBE | optimized geometry; ΔE to the lowest computed polymorph = 17 meV per atom; total moment = 0.000 μB/atom; symmetry = C2/m; formation enthalpy at 0 K = -0.061 eV per atom
1.0
-0.848 -4.326 0.251
3.037 -2.869 -1.427
2.673 -2.624 3.913
Ca Cu Ag
1 2 1
Direct
0.250 0.250 0.250
0.051 0.051 0.848
0.449 0.449 0.652
0.750 0.750 0.750

---

TiGaAs3 | Alexandria via LeMat-Bulk | PBE | optimized geometry; ΔE to the lowest computed polymorph = 670 meV per atom; total moment = 0.000 μB/atom; symmetry = Pm-3m; formation enthalpy at 0 K = 0.755 eV per atom
1.0
-1.562 -4.452 -1.005
3.520 -0.499 -3.261
2.905 -1.789 3.410
As Ga Ti
3 1 1
Direct
0.000 0.500 0.000
0.000 0.000 0.500
0.500 0.000 0.000
0.000 0.000 0.000
0.500 0.500 0.500

---

Hf2GeRh | Alexandria via LeMat-Bulk | PBE | optimized geometry; total moment = 0.000 μB/atom; symmetry = I-42d; formation enthalpy at 0 K = 0.292 eV per atom
1.0
-5.240 -0.733 0.783
0.015 -3.955 -3.600
-1.180 -7.052 3.769
Rh Ge Hf
2 2 4
Direct
0.000 0.000 0.000
0.750 0.250 0.500
0.500 0.500 0.000
0.250 0.750 0.500
0.643 0.125 0.250
0.107 0.625 0.250
0.375 0.357 0.750
0.875 0.893 0.750

---

NdInSi2Au6 | Alexandria via LeMat-Bulk | PBE | optimized geometry; total moment = 0.000 μB/atom; formation energy (no corrections) = -0.050 eV/atom; symmetry = R-3
1.0
-6.128 -1.522 1.431
-2.774 -5.170 -2.736
-0.533 -6.598 5.347
Nd In Si Au
1 1 2 6
Direct
0.000 0.000 0.000
0.500 0.500 0.500
0.694 0.694 0.917
0.306 0.306 0.083
0.116 0.463 0.801
0.619 0.116 0.801
0.537 0.381 0.199
0.884 0.537 0.199
0.381 0.884 0.199
0.463 0.619 0.801

---

CePr2PaSb4 | Alexandria via LeMat-Bulk | PBE | optimized geometry; total moment = 0.215 μB/atom; formation energy (no corrections) = -0.969 eV/atom; symmetry = P2/m
1.0
4.485 0.000 0.000
0.000 7.775 0.139
0.000 -2.714 7.312
Ce Pr Pa Sb
1 2 1 4
Direct
0.000 0.000 0.000
0.500 0.000 0.500
0.000 0.500 0.500
0.500 0.500 0.000
0.500 0.252 0.242
0.500 0.748 0.758
0.000 0.258 0.760
0.000 0.742 0.240

---

LiC2NO6 | Alexandria via LeMat-Bulk | PBE | optimized geometry; total moment = 0.000 μB/atom; formation energy (no corrections) = -0.527 eV/atom; symmetry = R-3
1.0
5.179 -2.265 0.011
5.179 2.265 0.011
4.179 0.000 3.806
Li C N O
1 2 1 6
Direct
0.000 0.000 0.000
0.760 0.760 0.760
0.240 0.240 0.240
0.500 0.500 0.500
0.953 0.524 0.253
0.476 0.747 0.047
0.747 0.047 0.476
0.253 0.953 0.524
0.524 0.253 0.953
0.047 0.476 0.747

---

PuBe2Hg2O6 | Alexandria via LeMat-Bulk | PBE | optimized geometry; total moment = 0.131 μB/atom; formation energy (no corrections) = -1.758 eV/atom; symmetry = P-3
1.0
-0.050 0.379 -5.110
-4.249 -1.380 2.509
-1.932 6.917 0.532
Pu Be Hg O
1 2 2 6
Direct
0.000 0.000 0.000
0.333 0.667 0.837
0.667 0.333 0.163
0.333 0.667 0.408
0.667 0.333 0.592
0.294 0.346 0.835
0.051 0.706 0.835
0.654 0.949 0.835
0.706 0.654 0.165
0.949 0.294 0.165
0.346 0.051 0.165

---

PrCd3Ag3 | Alexandria via LeMat-Bulk | PBE | optimized geometry; ΔE to the lowest computed polymorph = 0 meV per atom; total moment = 0.000 μB/atom; symmetry = R-3; formation enthalpy at 0 K = -0.136 eV per atom
1.0
7.450 0.000 0.000
3.725 6.452 0.000
3.725 2.151 6.607
Pr Cd Ag
2 6 6
Direct
0.345 0.345 0.964
0.655 0.655 0.036
0.568 0.729 0.622
0.729 0.080 0.622
0.080 0.568 0.622
0.920 0.432 0.378
0.271 0.920 0.378
0.432 0.271 0.378
0.166 0.716 0.181
0.937 0.166 0.181
0.716 0.937 0.181
0.284 0.063 0.819
0.063 0.834 0.819
0.834 0.284 0.819

---

Ti3Sb12Pd5 | Alexandria via LeMat-Bulk | PBE | optimized geometry; total moment = 0.000 μB/atom; formation energy (no corrections) = -0.143 eV/atom; symmetry = Ia-3d
1.0
13.884 0.000 0.000
-4.628 13.090 0.000
-4.628 -6.545 11.336
Ti Pd Sb
12 20 48
Direct
0.750 0.375 0.125
0.875 0.750 0.125
0.375 0.750 0.625
0.250 0.125 0.375
0.875 0.125 0.250
0.375 0.625 0.250
0.625 0.375 0.750
0.125 0.875 0.750
0.750 0.875 0.625
0.625 0.250 0.375
0.125 0.250 0.875
0.250 0.625 0.875
0.125 0.375 0.250
0.000 0.500 0.000
0.000 0.000 0.000
0.375 0.250 0.125
0.500 0.000 0.500
0.500 0.500 0.000
0.125 0.750 0.375
0.750 0.125 0.875
0.750 0.625 0.375
0.375 0.125 0.750
0.625 0.875 0.250
0.500 0.500 0.500
0.500 0.000 0.000
0.000 0.000 0.500
0.250 0.375 0.625
0.250 0.875 0.125
0.000 0.500 0.500
0.875 0.250 0.625
0.625 0.750 0.875
0.875 0.625 0.750
0.727 0.136 0.057
0.330 0.557 0.421
0.943 0.364 0.273
0.557 0.227 0.136
0.591 0.727 0.670
0.943 0.579 0.170
0.330 0.773 0.409
0.079 0.909 0.136
0.579 0.943 0.670
0.727 0.591 0.170
0.773 0.443 0.364
0.830 0.921 0.057
0.136 0.727 0.557
0.364 0.421 0.091
0.091 0.921 0.364
0.409 0.136 0.579
0.091 0.170 0.227
0.443 0.670 0.079
0.830 0.909 0.273
0.136 0.409 0.079
0.364 0.943 0.773
0.579 0.636 0.409
0.921 0.830 0.557
0.773 0.330 0.909
0.421 0.364 0.591
0.079 0.170 0.443
0.227 0.670 0.091
0.170 0.091 0.727
0.636 0.057 0.227
0.864 0.591 0.921
0.557 0.330 0.921
0.591 0.864 0.421
0.909 0.830 0.773
0.909 0.079 0.636
0.864 0.273 0.443
0.170 0.079 0.943
0.636 0.579 0.909
0.421 0.057 0.330
0.273 0.409 0.830
0.227 0.557 0.636
0.921 0.091 0.864
0.670 0.227 0.591
0.443 0.773 0.864
0.057 0.421 0.830
0.409 0.273 0.330
0.057 0.636 0.727
0.670 0.443 0.579
0.273 0.864 0.943

---

Er2TlPb5 | Alexandria via LeMat-Bulk | PBE | optimized geometry; total moment = 0.000 μB/atom; symmetry = I4/mmm; formation enthalpy at 0 K = -0.191 eV per atom
1.0
-1.924 1.538 -6.263
0.777 -6.588 1.135
-4.849 2.157 4.139
Er Tl Pb
2 1 5
Direct
0.278 0.778 0.500
0.778 0.278 0.500
0.778 0.778 0.000
0.278 0.278 0.500
0.278 0.778 0.000
0.778 0.278 0.000
0.778 0.778 0.500
0.278 0.277 0.000

---

K2Tm2Bi2Se | Alexandria via LeMat-Bulk | PBE | optimized geometry; total moment = 0.000 μB/atom; formation energy (no corrections) = -0.890 eV/atom; symmetry = I4/mmm
1.0
-1.283 -5.133 -0.738
4.809 -0.893 -2.148
1.541 1.004 9.673
K Tm Bi Se
2 2 2 1
Direct
0.184 0.184 0.367
0.816 0.816 0.633
0.000 0.500 0.000
0.500 0.000 0.000
0.388 0.388 0.777
0.612 0.612 0.223
0.000 0.000 0.000

---

PrErSc4 | Alexandria via LeMat-Bulk | PBE | optimized geometry; ΔE to the lowest computed polymorph = 0 meV per atom; total moment = 0.000 μB/atom; symmetry = C2/c; formation enthalpy at 0 K = 0.042 eV per atom
1.0
7.964 -1.497 -2.463
-3.094 4.221 -1.022
0.725 2.813 9.424
Pr Er Sc
2 2 8
Direct
0.377 0.627 0.254
0.623 0.373 0.746
0.127 0.877 0.754
0.873 0.123 0.246
0.960 0.210 0.917
0.457 0.707 0.917
0.285 0.538 0.583
0.715 0.462 0.417
0.202 0.955 0.417
0.543 0.293 0.083
0.798 0.045 0.583
0.040 0.790 0.083

---

HgAsBr2O | Alexandria via LeMat-Bulk | PBE | optimized geometry; ΔE to the lowest computed polymorph = 0 meV per atom; total moment = 0.000 μB/atom; formation energy (no corrections) = 0.206 eV/atom; symmetry = P4/mmm
1.0
6.038 0.000 0.000
0.000 6.038 0.000
0.000 0.000 3.676
O As Hg Br
1 1 1 2
Direct
0.000 0.000 0.000
0.000 0.000 0.500
0.500 0.500 0.500
0.000 0.500 0.000
0.500 0.000 0.000

---

Nd6Tl2Pd | Alexandria via LeMat-Bulk | PBE | optimized geometry; ΔE to the lowest computed polymorph = 49 meV per atom; total moment = 0.002 μB/atom; symmetry = Pnnm; formation enthalpy at 0 K = -0.307 eV per atom
1.0
5.128 0.000 0.248
0.000 10.322 0.000
-0.500 0.000 10.315
Nd Tl Pd
12 4 2
Direct
0.000 0.021 0.184
0.000 0.684 0.521
0.000 0.615 0.886
0.500 0.115 0.614
0.500 0.184 0.979
0.500 0.521 0.316
0.000 0.979 0.816
0.000 0.316 0.479
0.000 0.385 0.114
0.500 0.885 0.386
0.500 0.816 0.021
0.500 0.479 0.684
0.000 0.294 0.793
0.500 0.794 0.707
0.500 0.206 0.293
0.000 0.706 0.207
0.500 0.500 0.000
0.000 0.000 0.500

---

CdAgMo2 | Alexandria via LeMat-Bulk | PBE | optimized geometry; total moment = 0.000 μB/atom; symmetry = Pmmm; formation enthalpy at 0 K = 0.451 eV per atom
1.0
-1.552 -3.012 1.390
0.489 -1.857 -3.476
4.219 -1.524 1.408
Ag Cd Mo
1 1 2
Direct
0.500 0.000 0.500
0.000 0.500 0.500
0.000 0.000 0.000
0.500 0.500 0.000

---

Zn2OsF | Alexandria via LeMat-Bulk | PBE | optimized geometry; ΔE to the lowest computed polymorph = 0 meV per atom; total moment = 0.325 μB/atom; formation energy (no corrections) = 0.061 eV/atom; symmetry = I-42d
1.0
6.277 0.000 0.000
0.000 6.277 0.000
3.139 3.139 2.937
Zn Os F
4 2 2
Direct
0.574 0.125 0.250
0.176 0.625 0.250
0.375 0.426 0.750
0.875 0.824 0.750
0.000 0.000 0.000
0.750 0.250 0.500
0.500 0.500 0.000
0.250 0.750 0.500

---

Pm7Pr2Tl2 | Alexandria via LeMat-Bulk | PBE | optimized geometry; total moment = 0.000 μB/atom; symmetry = Imm2; formation enthalpy at 0 K = -0.028 eV per atom
1.0
-1.160 -2.842 2.099
7.255 1.123 8.822
-1.683 5.563 9.897
Pm Pr Tl
7 2 2
Direct
0.837 0.050 0.276
0.861 0.399 0.879
0.500 0.059 0.941
0.629 0.455 0.287
0.371 0.713 0.545
0.163 0.724 0.950
0.139 0.121 0.601
0.000 0.748 0.252
0.500 0.394 0.606
0.745 0.849 0.660
0.255 0.340 0.151

---

HoErZn4 | Alexandria via LeMat-Bulk | PBE | optimized geometry; ΔE to the lowest computed polymorph = 0 meV per atom; total moment = 0.000 μB/atom; symmetry = Immm; formation enthalpy at 0 K = -0.378 eV per atom
1.0
-1.290 1.543 4.003
-5.194 2.194 -0.013
-3.108 -3.684 2.925
Ho Er Zn
1 1 4
Direct
0.000 0.000 0.000
0.000 0.500 0.500
0.667 0.583 0.084
0.333 0.916 0.417
0.333 0.417 0.916
0.667 0.084 0.583